# 1
Material: MgRe
Method: DFT, PBE
State: relaxed

Properties
energy of formation = 283.45 kJ per mole of atoms
magnetization = 3.11 μB per formula unit

Cell: 4.3762 4.3762 4.3762 Å, 60.00 60.00 60.00°
Last column: nearest neighbours and their distance in Å.
Sites, in units of the cell vectors:
1 Mg 0.2500 0.2500 0.2500  4 Re 2.68
2 Re 0.0000 0.0000 0.0000  4 Mg 2.68

# 2
Material: PuAgI6
Method: DFT, PBE
State: relaxed

Properties
raw formation energy = -12.17 kcal/mol of atoms
magnetization = 2.94 μB per formula unit

Cell: 7.4623 7.4627 8.0462 Å, 62.36 62.37 59.99°
Last column: nearest neighbours and their distance in Å.
Sites, in units of the cell vectors:
1 I 0.5919 0.2434 0.2508  1 Pu 2.97, 1 Ag 3.02
2 I 0.9139 0.5919 0.2508  1 Pu 2.97, 1 Ag 3.02
3 I 0.7566 0.0862 0.7492  1 Pu 2.97, 1 Ag 3.02
4 I 0.2434 0.9138 0.2508  1 Pu 2.97, 1 Ag 3.02
5 Ag 0.5000 0.5000 0.5000  6 I 3.02
6 Pu 0.0000 0.0000 0.0000  6 I 2.97
7 I 0.4081 0.7566 0.7492  1 Pu 2.97, 1 Ag 3.02
8 I 0.0861 0.4081 0.7492  1 Pu 2.97, 1 Ag 3.02

# 3
Material: Ac4B3Rh12Au
Method: DFT, PBE
State: relaxed

Properties
energy of formation = -42.08 kJ per mole of atoms
magnetization = 0.20 μB per formula unit

Cell: 7.7813 7.7813 7.7813 Å, 109.47 109.47 109.47°
Last column: nearest neighbours and their distance in Å.
Sites, in units of the cell vectors:
1 Rh 0.7500 0.5000 0.2500  2 B 2.25
2 Rh 0.0000 0.2856 0.2856  1 B 1.93
3 Rh 0.5000 0.7500 0.2500  2 B 2.25
4 Rh 0.2856 0.2856 0.0000  1 B 1.93
5 Ac 0.5000 0.0000 0.0000  12 Rh 3.18-3.19
6 Rh 0.0000 0.7144 0.7144  1 B 1.93
7 B 0.5000 0.0000 0.5000  2 Rh 1.93
8 Rh 0.5000 0.2500 0.7500  2 B 2.25
9 Rh 0.2856 0.0000 0.2856  1 B 1.93
10 Rh 0.2500 0.5000 0.7500  2 B 2.25
11 B 0.5000 0.5000 0.0000  2 Rh 1.93
12 Rh 0.7500 0.2500 0.5000  2 B 2.25
13 Rh 0.7144 0.0000 0.7144  1 B 1.93
14 Rh 0.7144 0.7144 0.0000  1 B 1.93
15 Au 0.0000 0.0000 0.0000  6 Rh 2.57
16 Ac 0.0000 0.5000 0.0000  12 Rh 3.18-3.19
17 Rh 0.2500 0.7500 0.5000  2 B 2.25
18 Ac 0.0000 0.0000 0.5000  12 Rh 3.18-3.19
19 B 0.0000 0.5000 0.5000  2 Rh 1.93
20 Ac 0.5000 0.5000 0.5000  12 Rh 3.18-3.19

# 4
Material: MgFeSb2
Method: DFT, PBE
State: relaxed

Properties
raw formation energy = 6.31 kcal/mol of atoms
magnetization = 2.08 μB per formula unit

Cell: 4.9012 4.9012 4.9012 Å, 60.00 60.00 60.00°
Last column: nearest neighbours and their distance in Å.
Sites, in units of the cell vectors:
1 Fe 0.5000 0.5000 0.5000  8 Sb 3.00
2 Mg 0.0000 0.0000 0.0000  8 Sb 3.00
3 Sb 0.2500 0.2500 0.2500  4 Fe 3.00, 4 Mg 3.00
4 Sb 0.7500 0.7500 0.7500  4 Fe 3.00, 4 Mg 3.00

# 5
Material: SmGe4Ir4
Method: DFT, PBE
State: relaxed

Properties
energy of formation = -30.13 kJ per mole of atoms
magnetization = 0.00 μB per formula unit

Cell: 4.7378 8.4086 8.4086 Å, 90.00 90.00 90.00°
Last column: nearest neighbours and their distance in Å.
Sites, in units of the cell vectors:
1 Ge 0.5001 0.2892 0.1535  5 Ir 2.46-2.64
2 Ir 0.0001 0.3616 0.0955  5 Ge 2.46-2.64
3 Ge 0.9999 0.7892 0.6535  5 Ir 2.46-2.64
4 Ir 0.5001 0.4045 0.8616  5 Ge 2.46-2.64
5 Ge 0.9999 0.2108 0.3465  5 Ir 2.46-2.64
6 Ir 0.9999 0.0955 0.6384  5 Ge 2.46-2.64
7 Ge 0.4999 0.8465 0.2892  5 Ir 2.46-2.64
8 Sm 0.5000 0.5000 0.5000  4 Ir 3.14, 4 Ge 3.41
9 Sm 0.0000 0.0000 0.0000  4 Ir 3.14, 4 Ge 3.41
10 Ir 0.4999 0.8616 0.5955  5 Ge 2.46-2.64
11 Ir 0.9999 0.9045 0.3616  5 Ge 2.46-2.64
12 Ge 0.0001 0.3465 0.7892  5 Ir 2.46-2.64
13 Ge 0.5001 0.7108 0.8465  5 Ir 2.46-2.64
14 Ir 0.5001 0.5955 0.1384  5 Ge 2.46-2.64
15 Ge 0.0001 0.6535 0.2108  5 Ir 2.46-2.64
16 Ge 0.4999 0.1535 0.7108  5 Ir 2.46-2.64
17 Ir 0.0001 0.6384 0.9045  5 Ge 2.46-2.64
18 Ir 0.4999 0.1384 0.4045  5 Ge 2.46-2.64

# 6
Material: CuTcP
Method: DFT, PBE
State: relaxed

Properties
energy of formation = -4.48 kJ per mole of atoms
magnetization = 0.00 μB per formula unit

Cell: 3.8924 3.8924 3.1301 Å, 90.00 90.00 120.00°
Last column: nearest neighbours and their distance in Å.
Sites, in units of the cell vectors:
1 Tc 0.6667 0.3333 0.5473  3 P 2.30
2 P 0.3333 0.6667 0.3973  3 Tc 2.30, 3 Cu 2.49
3 Cu 0.0000 0.0000 0.0554  3 P 2.49, 6 Tc 2.72-2.75

# 7
Material: Si2TcI
Method: DFT, PBE
State: relaxed

Properties
raw formation energy = 14.05 kcal/mol of atoms
magnetization = 0.00 μB per formula unit

Cell: 6.0276 6.0276 7.3002 Å, 65.62 65.62 90.00°
Last column: nearest neighbours and their distance in Å.
Sites, in units of the cell vectors:
1 Si 0.8750 0.7781 0.7500  2 Tc 2.31
2 I 0.7500 0.2500 0.5000  4 Si 2.97
3 Tc 0.2500 0.7500 0.5000  4 Si 2.31
4 Si 0.3750 0.4719 0.7500  2 Tc 2.31
5 Si 0.2219 0.6250 0.2500  2 Tc 2.31
6 I 0.0000 0.0000 0.0000  4 Si 2.97
7 Tc 0.5000 0.5000 0.0000  4 Si 2.31
8 Si 0.5281 0.1250 0.2500  2 Tc 2.31

# 8
Material: LiH3Pd
Method: DFT, PBE
State: relaxed

Properties
energy = -3.470 eV/atom
magnetization = 0.00 μB per formula unit

Cell: 2.9084 4.5055 4.5055 Å, 116.47 90.00 90.00°
Last column: nearest neighbours and their distance in Å.
Sites, in units of the cell vectors:
1 Li 0.5000 0.1021 0.8979  4 H 1.71-1.87
2 H 0.5000 0.6482 0.7809  2 Pd 1.78, 1 Li 1.87
3 H 0.0000 0.2191 0.7809  1 Pd 1.69, 2 Li 1.71
4 H 0.5000 0.2191 0.3518  2 Pd 1.78, 1 Li 1.87
5 Pd 0.0000 0.4396 0.5604  5 H 1.69-1.78